No. 1
{
  "formula": "HfB3I",
  "functional": "PBE",
  "state": "relaxed",
  "sg": "Pm-3m",
  "lattice_angstrom": [[4.644, 0.000, 0.000], [0.000, 4.644, 0.000], [0.000, 0.000, 4.644]],
  "species": ["Hf", "B", "B", "B", "I"],
  "frac_coords": [[0.000, 0.000, 0.000], [0.000, 0.000, 0.500], [0.000, 0.500, 0.000], [0.500, 0.000, 0.000], [0.500, 0.500, 0.500]]
}

***

No. 2
{
  "formula": "HfB3I",
  "functional": "PBE",
  "state": "relaxed",
  "sg": "Pm-3m",
  "lattice_angstrom": [[4.314, 0.000, 0.000], [0.000, 4.314, 0.000], [0.000, 0.000, 4.314]],
  "species": ["Hf", "B", "B", "B", "I"],
  "frac_coords": [[0.000, 0.000, 0.000], [0.000, 0.500, 0.500], [0.500, 0.000, 0.500], [0.500, 0.500, 0.000], [0.500, 0.500, 0.500]]
}

***

No. 3
{
  "formula": "HfBIr2I",
  "functional": "PBE",
  "state": "relaxed",
  "sg": "P4/mmm",
  "lattice_angstrom": [[4.955, 0.000, 0.000], [0.000, 4.955, 0.000], [0.000, 0.000, 4.512]],
  "species": ["Hf", "B", "Ir", "Ir", "I"],
  "frac_coords": [[0.000, 0.000, 0.000], [0.000, 0.000, 0.500], [0.000, 0.500, 0.000], [0.500, 0.000, 0.000], [0.500, 0.500, 0.500]]
}

***

No. 4
{
  "formula": "HfBI2N",
  "functional": "PBE",
  "state": "relaxed",
  "sg": "P4/mmm",
  "lattice_angstrom": [[6.519, 0.000, 0.000], [0.000, 6.519, 0.000], [0.000, 0.000, 2.797]],
  "species": ["Hf", "B", "I", "I", "N"],
  "frac_coords": [[0.000, 0.000, 0.000], [0.500, 0.500, 0.500], [0.000, 0.500, 0.500], [0.500, 0.000, 0.500], [0.500, 0.500, 0.000]]
}

***

No. 5
{
  "formula": "HfBI2N",
  "functional": "PBE",
  "state": "relaxed",
  "sg": "P4/mmm",
  "lattice_angstrom": [[5.870, 0.000, 0.000], [0.000, 5.870, 0.000], [0.000, 0.000, 3.976]],
  "species": ["Hf", "B", "I", "I", "N"],
  "frac_coords": [[0.000, 0.000, 0.000], [0.500, 0.500, 0.500], [0.000, 0.500, 0.000], [0.500, 0.000, 0.000], [0.000, 0.000, 0.500]]
}

***

No. 6
{
  "formula": "HfNbBI2",
  "functional": "PBE",
  "state": "relaxed",
  "sg": "P4/mmm",
  "lattice_angstrom": [[5.481, 0.000, 0.000], [0.000, 5.481, 0.000], [0.000, 0.000, 5.151]],
  "species": ["Hf", "Nb", "B", "I", "I"],
  "frac_coords": [[0.000, 0.000, 0.000], [0.000, 0.000, 0.500], [0.500, 0.500, 0.000], [0.000, 0.500, 0.500], [0.500, 0.000, 0.500]]
}

***

VASP energy, record by record: -22.12, -19.94, -27.94, -25.64, -24.58, -21.72 eV/f.u.